Record 1
AlGaOs2Pt: relaxed, PBE-GGA.

**Total energy**: -5.41 eV/atom
**Space-group type**: P4/mmm (123)

a b c (Å): 4.8354 4.8354 4.5791
angles (deg): 90.00 90.00 90.00
Fractional coordinates of all 5 atoms:
Al 0.0000 0.0000 0.0000
Ga 0.5000 0.5000 0.0000
Os 0.0000 0.5000 0.5000
Os 0.5000 0.0000 0.5000
Pt 0.5000 0.5000 0.5000



Record 2
RbAlGa2Os: relaxed, PBE-GGA.

**Total energy**: -4.58 eV/atom
**Space-group type**: P4/mmm (123)

a b c (Å): 4.9313 4.9313 4.8795
angles (deg): 90.00 90.00 90.00
Fractional coordinates of all 5 atoms:
Rb 0.0000 0.0000 0.0000
Al 0.5000 0.5000 0.0000
Ga 0.0000 0.5000 0.5000
Ga 0.5000 0.0000 0.5000
Os 0.5000 0.5000 0.5000



What did the first record say?
AlGaOs2Pt: relaxed, PBE-GGA.

**Total energy**: -5.41 eV/atom
**Space-group type**: P4/mmm (123)

a b c (Å): 4.8354 4.8354 4.5791
angles (deg): 90.00 90.00 90.00
Fractional coordinates of all 5 atoms:
Al 0.0000 0.0000 0.0000
Ga 0.5000 0.5000 0.0000
Os 0.0000 0.5000 0.5000
Os 0.5000 0.0000 0.5000
Pt 0.5000 0.5000 0.5000